ZrTl2Cd (PBE, relaxed); DFT formation energy = 0.093 eV per atom; space-group type = No. 166; energy above the most stable polymorph in this dataset = 0.0975 eV/atom; electronic total energy = -13.8 eV/cell
1.0
10.4272 -0.0021 -0.0012
9.8942 3.2912 -0.0012
9.8942 1.6014 2.8753
Cd Tl Zr
1 2 1
Direct
0.7500 0.7500 0.7500
0.9995 0.9995 0.9995
0.5005 0.5005 0.5005
0.2500 0.2500 0.2500